[1]
## In2RuCl (PBE)

Data for a geometry-optimized In2RuCl structure.

a = 8.569 Å, b = 8.569 Å, c = 8.569 Å
α = 22.87°, β = 22.87°, γ = 22.87°
Sites, in units of the cell vectors:
In1 0.242 0.242 0.242
In2 0.758 0.758 0.758
Ru1 0.500 0.500 0.500
Cl1 0.000 0.000 0.000

Properties
**Energy relative to the lowest polymorph listed for this composition**: 191 meV per atom

[2]
## PmCd4Pd4 (PBE)

Data for a geometry-optimized PmCd4Pd4 structure.

a = 8.721 Å, b = 8.721 Å, c = 4.810 Å
α = 90.00°, β = 90.00°, γ = 90.00°
Sites, in units of the cell vectors:
Pm1 0.250 0.250 0.250
Pm2 0.750 0.750 0.750
Cd1 0.112 0.843 0.659
Cd2 0.157 0.612 0.159
Cd3 0.343 0.888 0.159
Cd4 0.388 0.657 0.659
Cd5 0.612 0.343 0.341
Cd6 0.657 0.112 0.841
Cd7 0.843 0.388 0.841
Cd8 0.888 0.157 0.341
Pd1 0.050 0.135 0.833
Pd2 0.135 0.450 0.667
Pd3 0.365 0.050 0.667
Pd4 0.450 0.365 0.833
Pd5 0.550 0.635 0.167
Pd6 0.635 0.950 0.333
Pd7 0.865 0.550 0.333
Pd8 0.950 0.865 0.167

Properties
**Energy of formation**: -0.3464 eV per atom

[3]
## CaTh2Zn (PBE)

Data for a geometry-optimized CaTh2Zn structure.

a = 12.020 Å, b = 12.020 Å, c = 12.020 Å
α = 16.62°, β = 16.62°, γ = 16.62°
Sites, in units of the cell vectors:
Ca1 0.000 0.000 0.000
Th1 0.099 0.099 0.099
Th2 0.901 0.901 0.901
Zn1 0.500 0.500 0.500

Properties
**Energy of formation**: 0.2120 eV per atom

We obtain VASP energy values of -0.156, -0.132, -0.159 Ha/atom for the records listed above, in that order.